This record from Alexandria via LeMat-Bulk describes crystalline Na2LiIn4 at its relaxed geometry. The functional is PBE.

Cell lengths 5.372, 5.372, 7.732 Å; angles 98.27, 98.27, 52.01 degrees
Positions (direct):
Na 0.143 0.143 0.425
Na 0.857 0.857 0.575
Li 0.000 0.000 0.000
In 0.273 0.273 0.861
In 0.435 0.435 0.268
In 0.565 0.565 0.732
In 0.727 0.727 0.139

**DFT formation energy**: -0.13 eV per atom

This record from Alexandria via LeMat-Bulk describes crystalline Sm4Y3ScS8 at its relaxed geometry. The functional is PBE.

Cell lengths 7.916, 7.916, 7.916 Å; angles 59.39, 59.39, 59.39 degrees
Positions (direct):
Sm 0.000 0.000 0.000
Sm 0.000 0.500 0.500
Sm 0.500 0.000 0.500
Sm 0.500 0.500 0.000
Y 0.000 0.000 0.500
Y 0.000 0.500 0.000
Y 0.500 0.000 0.000
Sc 0.500 0.500 0.500
S 0.247 0.247 0.247
S 0.253 0.741 0.741
S 0.259 0.259 0.747
S 0.259 0.747 0.259
S 0.741 0.253 0.741
S 0.741 0.741 0.253
S 0.747 0.259 0.259
S 0.753 0.753 0.753

**Electronic total energy**: -109.327 eV/cell

This record from Alexandria via LeMat-Bulk describes crystalline TcNi2Os at its relaxed geometry. The functional is PBE.

Cell lengths 2.590, 3.755, 5.226 Å; angles 90.00, 90.00, 90.00 degrees
Positions (direct):
Tc 0.000 0.000 0.000
Ni 0.500 0.500 0.253
Ni 0.500 0.500 0.747
Os 0.000 0.000 0.500

**DFT formation energy**: 0.11 eV per atom

This record from Alexandria via LeMat-Bulk describes crystalline TbPuTh2As4 at its relaxed geometry. The functional is PBE.

Cell lengths 8.409, 8.409, 8.409 Å; angles 120.05, 119.95, 90.00 degrees
Positions (direct):
Tb 0.500 0.000 0.000
Tb 0.500 0.500 0.500
Pu 0.000 0.000 0.000
Pu 0.500 0.000 0.500
Th 0.000 0.000 0.500
Th 0.000 0.500 0.000
Th 0.000 0.500 0.500
Th 0.500 0.500 0.000
As 0.252 0.248 0.004
As 0.252 0.248 0.496
As 0.252 0.756 0.004
As 0.256 0.752 0.504
As 0.744 0.248 0.496
As 0.748 0.244 0.996
As 0.748 0.752 0.504
As 0.748 0.752 0.996

**DFT formation energy**: -1.36 eV per atom

This record from Alexandria via LeMat-Bulk describes crystalline Tb6NdTl5 at its relaxed geometry. The functional is PBE.

Cell lengths 9.204, 9.204, 9.204 Å; angles 148.09, 122.82, 66.99 degrees
Positions (direct):
Tb 0.065 0.329 0.735
Tb 0.225 0.000 0.225
Tb 0.406 0.671 0.735
Tb 0.594 0.329 0.265
Tb 0.775 0.000 0.775
Tb 0.935 0.671 0.265
Nd 0.500 0.500 0.000
Tl 0.000 0.500 0.500
Tl 0.180 0.180 0.000
Tl 0.350 0.850 0.500
Tl 0.650 0.150 0.500
Tl 0.820 0.820 0.000

**DFT formation energy**: -0.28 eV per atom

This record from Alexandria via LeMat-Bulk describes crystalline Ho3BeN at its relaxed geometry. The functional is PBE.

Cell lengths 4.704, 4.704, 4.704 Å; angles 90.00, 90.00, 90.00 degrees
Positions (direct):
Ho 0.000 0.000 0.500
Ho 0.000 0.500 0.000
Ho 0.500 0.000 0.000
Be 0.500 0.500 0.500
N 0.000 0.000 0.000

**Electronic total energy**: -28.640 eV/cell